Entry 1:
DFT (PBE+U) results for MnAs2O4 after structural relaxation.

a = 5.9045 Å, b = 8.7444 Å, c = 8.7445 Å
α = 90.00°, β = 90.00°, γ = 90.00°
Closest atoms and distances in Å follow each position.
Sites, in units of the cell vectors:
As (0.5000, 0.8240, 0.1917)  3 O 1.76-1.91
As (0.5000, 0.3240, 0.3083)  3 O 1.76-1.91
As (0.0000, 0.1917, 0.1760)  3 O 1.76-1.91
As (0.5000, 0.6760, 0.6917)  3 O 1.76-1.91
As (0.0000, 0.8083, 0.8240)  3 O 1.76-1.91
As (0.5000, 0.1760, 0.8083)  3 O 1.76-1.91
As (0.0000, 0.6917, 0.3240)  3 O 1.76-1.91
As (0.0000, 0.3083, 0.6760)  3 O 1.76-1.91
O (0.5000, 0.1376, 0.6110)  1 As 1.76
O (0.7500, 0.1863, 0.3137)  2 As 1.91
O (0.7500, 0.6863, 0.1863)  2 As 1.91
O (0.0000, 0.6110, 0.8624)  1 As 1.76
O (0.2500, 0.1862, 0.3137)  2 As 1.91
O (0.2500, 0.8137, 0.6862)  2 As 1.91
O (0.7500, 0.8137, 0.6863)  2 As 1.91
O (0.2500, 0.6863, 0.1862)  2 As 1.91
O (0.5000, 0.3624, 0.1110)  1 As 1.76
O (0.0000, 0.1110, 0.6376)  1 As 1.76
O (0.5000, 0.6376, 0.8890)  1 As 1.76
O (0.0000, 0.8890, 0.3624)  1 As 1.76
O (0.5000, 0.8624, 0.3890)  1 As 1.76
O (0.2500, 0.3137, 0.8138)  2 As 1.91
O (0.0000, 0.3890, 0.1376)  1 As 1.76
O (0.7500, 0.3137, 0.8137)  2 As 1.91
Mn (0.2500, 0.0000, 0.5000)  6 O 2.14-2.30
Mn (0.7500, 0.0000, 0.5000)  6 O 2.14-2.30
Mn (0.2500, 0.5000, 0.0000)  6 O 2.14-2.30
Mn (0.7499, 0.5000, 0.0000)  6 O 2.14-2.30

Values from the calculation:
Calculated volume ... 16.12 A^3/atom
Raw total energy ... -6.588 eV/atom
Crystal system ... tetragonal
Density of states at the Fermi level ... 0.0 states/eV/cell



Entry 2:
DFT (PBE+U) results for MnAsO4 after structural relaxation.

a = 5.1345 Å, b = 5.1345 Å, c = 6.3316 Å
α = 90.00°, β = 90.00°, γ = 77.78°
Closest atoms and distances in Å follow each position.
Sites, in units of the cell vectors:
O (0.7390, 0.1478, 0.2500)  1 As 1.71
O (0.1478, 0.7390, 0.2500)  1 As 1.71
O (0.8522, 0.2610, 0.7500)  1 As 1.71
O (0.2610, 0.8522, 0.7500)  1 As 1.71
O (0.3371, 0.3371, 0.9519)  1 As 1.72
O (0.6629, 0.6629, 0.0481)  1 As 1.72
O (0.3371, 0.3371, 0.5481)  1 As 1.72
O (0.6629, 0.6629, 0.4519)  1 As 1.72
As (0.1925, 0.1925, 0.7500)  4 O 1.71-1.72
As (0.8075, 0.8075, 0.2500)  4 O 1.71-1.72
Mn (0.5791, 0.5791, 0.7500)  4 O 1.91-2.00
Mn (0.4209, 0.4209, 0.2500)  4 O 1.91-2.00

Values from the calculation:
Calculated volume ... 13.60 A^3/atom
Raw total energy ... -6.608 eV/atom
Crystal system ... orthorhombic
Density of states at the Fermi level ... 0.9 states/eV/cell



Entry 3:
DFT (PBE+U) results for MnAsO4 after structural relaxation.

a = 4.9034 Å, b = 6.8776 Å, c = 9.0931 Å
α = 90.00°, β = 90.00°, γ = 94.40°
Closest atoms and distances in Å follow each position.
Sites, in units of the cell vectors:
O (0.5812, 0.7277, 0.6297)  1 As 1.75
O (0.2980, 0.7874, 0.3800)  1 As 1.73
O (0.2020, 0.7126, 0.8800)  1 As 1.73
O (0.9188, 0.7723, 0.1297)  1 As 1.75
O (0.6864, 0.5118, 0.8754)  1 As 1.71, 1 Mn 1.92
O (0.3136, 0.4882, 0.1246)  1 As 1.71, 1 Mn 1.92
O (0.8086, 0.5643, 0.3773)  1 As 1.71, 1 Mn 1.90
O (0.1864, 0.0118, 0.6246)  1 As 1.71, 1 Mn 1.92
O (0.4188, 0.2723, 0.3703)  1 As 1.75
O (0.6914, 0.9357, 0.8773)  1 As 1.71, 1 Mn 1.90
O (0.7980, 0.2874, 0.1200)  1 As 1.73
O (0.8136, 0.9882, 0.3754)  1 As 1.71, 1 Mn 1.92
O (0.1914, 0.4357, 0.6227)  1 As 1.71, 1 Mn 1.90
O (0.0812, 0.2277, 0.8703)  1 As 1.75
O (0.7020, 0.2126, 0.6200)  1 As 1.73
O (0.3086, 0.0643, 0.1227)  1 As 1.71, 1 Mn 1.90
As (0.5369, 0.7168, 0.8206)  4 O 1.71-1.75
As (0.0369, 0.2168, 0.6794)  4 O 1.71-1.75
As (0.4631, 0.2832, 0.1794)  4 O 1.71-1.75
As (0.9631, 0.7832, 0.3206)  4 O 1.71-1.75
Mn (0.0000, 0.5000, 0.0000)  4 O 1.92-2.02
Mn (0.0000, 0.0000, 0.0000)  4 O 1.90-1.98
Mn (0.5000, 0.0000, 0.5000)  4 O 1.92-2.02
Mn (0.5000, 0.5000, 0.5000)  4 O 1.90-1.98

Values from the calculation:
Calculated volume ... 12.74 A^3/atom
Raw total energy ... -6.680 eV/atom
Crystal system ... monoclinic



Entry 4:
DFT (PBE+U) results for Mn3As2O14 after structural relaxation.

a = 5.4498 Å, b = 5.4559 Å, c = 9.6876 Å
α = 96.73°, β = 90.19°, γ = 114.17°
Closest atoms and distances in Å follow each position.
Sites, in units of the cell vectors:
O (0.2840, 0.3523, 0.3913)  1 Mn 1.69
O (0.8241, 0.6473, 0.9215)  2 Mn 1.86-1.87
O (0.6541, 0.4315, 0.6019)  1 Mn 1.60
O (0.1526, 0.9100, 0.1464)  1 As 1.72
O (0.3385, 0.6193, 0.8494)  1 As 1.72
O (0.5655, 0.0634, 0.3646)  1 As 1.70
O (0.3332, 0.1324, 0.9007)  1 As 1.82, 2 Mn 2.00
O (0.0733, 0.8854, 0.4764)  1 Mn 1.92, 1 O 2.08
O (0.1186, 0.2480, 0.5938)  1 Mn 1.79
O (0.1534, 0.3727, 0.0754)  2 Mn 1.86-1.87
O (0.8251, 0.1045, 0.8474)  1 As 1.72
O (0.6409, 0.4016, 0.1490)  1 As 1.72
O (0.6462, 0.8906, 0.0964)  1 As 1.81, 2 Mn 2.00
O (0.4130, 0.9187, 0.6273)  1 As 1.69
Mn (0.9893, 0.0106, 0.9982)  6 O 1.86-2.00
Mn (0.4896, 0.5108, 0.9992)  6 O 1.86-2.00
Mn (0.3966, 0.2140, 0.5101)  3 O 1.60-1.79
As (0.4874, 0.9371, 0.7984)  4 O 1.69-1.82
As (0.4887, 0.0818, 0.1968)  4 O 1.70-1.81

Values from the calculation:
Calculated volume ... 13.71 A^3/atom
Raw total energy ... -5.946 eV/atom
Crystal system ... triclinic
Density of states at the Fermi level ... 3.4 states/eV/cell



Entry 5:
DFT (PBE+U) results for MnAs3O9 after structural relaxation.

a = 6.8192 Å, b = 6.8192 Å, c = 7.4495 Å
α = 90.00°, β = 90.00°, γ = 93.77°
Closest atoms and distances in Å follow each position.
Sites, in units of the cell vectors:
O (0.6507, 0.3910, 0.9562)  1 As 1.69
O (0.7384, 0.6393, 0.3021)  1 As 1.67
O (0.8717, 0.1283, 0.7500)  2 As 1.77
O (0.3910, 0.6507, 0.0438)  1 As 1.69
O (0.3493, 0.6090, 0.4562)  1 As 1.69
O (0.6393, 0.7384, 0.6979)  1 As 1.67
O (0.6665, 0.9758, 0.0379)  1 As 1.70
O (0.0242, 0.3335, 0.4621)  1 As 1.70
O (0.7577, 0.0053, 0.4126)  2 As 1.74-1.82
O (0.6090, 0.3493, 0.5438)  1 As 1.69
O (0.1283, 0.8717, 0.2500)  2 As 1.77
O (0.2423, 0.9947, 0.9126)  2 As 1.74-1.82
O (0.0053, 0.7577, 0.5874)  2 As 1.74-1.82
O (0.3335, 0.0242, 0.5379)  1 As 1.70
O (0.9758, 0.6665, 0.9621)  1 As 1.70
O (0.3607, 0.2616, 0.1979)  1 As 1.67
O (0.9947, 0.2423, 0.0874)  2 As 1.74-1.82
O (0.2616, 0.3607, 0.8021)  1 As 1.67
As (0.7814, 0.1895, 0.9638)  4 O 1.69-1.77
As (0.1895, 0.7814, 0.0362)  4 O 1.69-1.77
As (0.2186, 0.8105, 0.4638)  4 O 1.69-1.77
As (0.2447, 0.2447, 0.0000)  4 O 1.67-1.82
As (0.8105, 0.2186, 0.5362)  4 O 1.69-1.77
As (0.7553, 0.7553, 0.5000)  4 O 1.67-1.82
Mn (0.3130, 0.3130, 0.5000)  4 O 2.00-2.04
Mn (0.6870, 0.6870, 0.0000)  4 O 2.00-2.04

Values from the calculation:
Calculated volume ... 13.29 A^3/atom
Raw total energy ... -6.166 eV/atom
Crystal system ... orthorhombic
Density of states at the Fermi level ... 5.3 states/eV/cell



Entry 6:
DFT (PBE+U) results for MnAs3O after structural relaxation.

a = 4.6944 Å, b = 4.6944 Å, c = 4.6944 Å
α = 90.00°, β = 90.00°, γ = 90.00°
Closest atoms and distances in Å follow each position.
Sites, in units of the cell vectors:
Mn (0.0000, 0.0000, 0.0000)  6 As 2.35
As (0.0000, 0.5000, 0.0000)  2 Mn 2.35
As (0.0000, 0.0000, 0.5000)  2 Mn 2.35
As (0.5000, 0.0000, 0.0000)  2 Mn 2.35
O (0.5000, 0.5000, 0.5000)  12 As 3.32

Values from the calculation:
Calculated volume ... 20.69 A^3/atom
Crystal system ... cubic
Energy above the most stable polymorph in this dataset ... 0.0737 eV per atom
Density of states at the Fermi level ... 2.7 states/eV/cell



Entry 7:
DFT (PBE+U) results for MnAsO4 after structural relaxation.

a = 5.0727 Å, b = 6.1452 Å, c = 10.2856 Å
α = 90.00°, β = 90.00°, γ = 90.00°
Closest atoms and distances in Å follow each position.
Sites, in units of the cell vectors:
As (0.5831, 0.7500, 0.9020)  4 O 1.71-1.73
As (0.9169, 0.7500, 0.4020)  4 O 1.71-1.73
As (0.0831, 0.2500, 0.5980)  4 O 1.71-1.73
As (0.4169, 0.2500, 0.0980)  4 O 1.71-1.73
O (0.2523, 0.7500, 0.3815)  1 As 1.71, 1 Mn 1.91
O (0.7476, 0.2500, 0.6185)  1 As 1.71, 1 Mn 1.91
O (0.7550, 0.9622, 0.3250)  1 As 1.73
O (0.2450, 0.4622, 0.6750)  1 As 1.73
O (0.2450, 0.0378, 0.6750)  1 As 1.73
O (0.2476, 0.7500, 0.8815)  1 As 1.71, 1 Mn 1.91
O (0.7450, 0.5378, 0.8250)  1 As 1.73
O (0.8538, 0.7500, 0.5656)  1 As 1.71, 1 Mn 1.91
O (0.6462, 0.7500, 0.0656)  1 As 1.71, 1 Mn 1.91
O (0.2550, 0.4622, 0.1750)  1 As 1.73
O (0.7523, 0.2500, 0.1185)  1 As 1.71, 1 Mn 1.91
O (0.7550, 0.5378, 0.3250)  1 As 1.73
O (0.3538, 0.2500, 0.9344)  1 As 1.71, 1 Mn 1.91
O (0.7450, 0.9622, 0.8250)  1 As 1.73
O (0.1462, 0.2500, 0.4344)  1 As 1.71, 1 Mn 1.91
O (0.2550, 0.0378, 0.1750)  1 As 1.73
Mn (0.4298, 0.7500, 0.2179)  4 O 1.91-2.03
Mn (0.0702, 0.7500, 0.7179)  4 O 1.91-2.03
Mn (0.5702, 0.2500, 0.7821)  4 O 1.91-2.03
Mn (0.9298, 0.2500, 0.2821)  4 O 1.91-2.03

Values from the calculation:
Calculated volume ... 13.36 A^3/atom
Raw total energy ... -6.653 eV/atom
Crystal system ... orthorhombic
Density of states at the Fermi level ... 0.8 states/eV/cell



Entry 8:
DFT (PBE+U) results for MnAsO4 after structural relaxation.

a = 4.4237 Å, b = 5.1446 Å, c = 5.3080 Å
α = 90.00°, β = 90.00°, γ = 90.00°
Closest atoms and distances in Å follow each position.
Sites, in units of the cell vectors:
Mn (0.0000, 0.5000, 0.1556)  6 O 1.96-2.13
Mn (0.5000, 0.5000, 0.6556)  6 O 1.96-2.13
O (0.2072, 0.3126, 0.8850)  1 As 1.86, 2 Mn 1.96-2.02
O (0.2529, 0.8525, 0.6117)  2 As 1.86-1.92
O (0.2471, 0.8525, 0.1117)  2 As 1.86-1.92
O (0.7471, 0.1475, 0.6117)  2 As 1.86-1.92
O (0.7072, 0.6874, 0.3850)  1 As 1.86, 2 Mn 1.96-2.02
O (0.7529, 0.1475, 0.1117)  2 As 1.86-1.92
O (0.2928, 0.3126, 0.3850)  1 As 1.86, 2 Mn 1.96-2.02
O (0.7928, 0.6874, 0.8850)  1 As 1.86, 2 Mn 1.96-2.02
As (0.5000, 0.0000, 0.3511)  6 O 1.86-1.92
As (0.0000, 0.0000, 0.8511)  6 O 1.86-1.92

Values from the calculation:
Calculated volume ... 10.07 A^3/atom
Raw total energy ... -6.591 eV/atom
Crystal system ... orthorhombic
Density of states at the Fermi level ... 0.8 states/eV/cell



Which of these has the highest calculated volume? MnAs3O